The following is a DFT calculation (GGA-PBE) of Nd4TeAu after structural relaxation.

Energy relative to the elements, uncorrected ... -0.65 eV per atom
ρ ... 7.7 g/cm³
E above lowest polymorph ... 1.83 kcal/mol of atoms

abc: 7.123 6.720 8.074
angles: 90.00 91.53 90.00
Element x y z (fractional)
Nd: 0.085 0.250 0.068
Nd: 0.103 0.750 0.377
Nd: 0.394 0.501 0.760
Nd: 0.394 0.999 0.760
Nd: 0.606 0.001 0.240
Nd: 0.606 0.499 0.240
Nd: 0.897 0.250 0.623
Nd: 0.915 0.750 0.932
Te: 0.273 0.250 0.428
Te: 0.727 0.750 0.572
Au: 0.313 0.750 0.061
Au: 0.687 0.250 0.939

The following is a DFT calculation (GGA-PBE) of CaAc2DyBi4 after structural relaxation.

ρ ... 8.3 g/cm³
Formation energy from the elements ... -0.85 eV/atom

abc: 8.036 4.757 8.266
angles: 90.00 109.90 90.00
Element x y z (fractional)
Ca: 0.000 0.000 0.000
Ac: 0.500 0.000 0.500
Ac: 0.500 0.500 0.000
Dy: 0.000 0.500 0.500
Bi: 0.228 0.000 0.738
Bi: 0.231 0.500 0.249
Bi: 0.769 0.500 0.751
Bi: 0.772 0.000 0.262

The following is a DFT calculation (GGA-PBE) of MnBeTl2 after structural relaxation.

ρ ... 9.7 g/cm³
Formation energy from the elements ... 0.66 eV/atom
E above lowest polymorph ... 5.27 kcal/mol of atoms

abc: 4.559 4.559 5.858
angles: 102.91 102.91 43.12
Element x y z (fractional)
Mn: 0.000 0.000 0.000
Be: 0.500 0.500 0.500
Tl: 0.240 0.240 0.733
Tl: 0.760 0.760 0.267

The following is a DFT calculation (GGA-PBE) of Sr3GaSb after structural relaxation.

Energy relative to the elements, uncorrected ... -0.26 eV per atom
ρ ... 3.7 g/cm³
E above lowest polymorph ... 8.22 kcal/mol of atoms

abc: 5.896 5.896 5.896
angles: 90.00 90.00 90.00
Element x y z (fractional)
Sr: 0.000 0.000 0.500
Sr: 0.000 0.500 0.000
Sr: 0.500 0.000 0.000
Ga: 0.000 0.000 0.000
Sb: 0.500 0.500 0.500

The following is a DFT calculation (GGA-PBE) of U4Te3S2 after structural relaxation.

Energy relative to the elements, uncorrected ... -0.75 eV per atom
ρ ... 10.1 g/cm³

abc: 6.668 6.668 9.683
angles: 100.24 100.24 32.81
Element x y z (fractional)
U: 0.069 0.069 0.105
U: 0.301 0.301 0.453
U: 0.699 0.699 0.547
U: 0.931 0.931 0.895
Te: 0.000 0.000 0.500
Te: 0.380 0.380 0.128
Te: 0.620 0.620 0.872
S: 0.315 0.315 0.735
S: 0.685 0.685 0.265

The following is a DFT calculation (GGA-PBE) of TiGe2SeI after structural relaxation.

Energy relative to the elements, uncorrected ... 1.03 eV per atom
ρ ... 4.7 g/cm³

abc: 5.087 5.087 5.427
angles: 90.00 90.00 90.00
Element x y z (fractional)
Ti: 0.000 0.000 0.000
Ge: 0.000 0.500 0.500
Ge: 0.500 0.000 0.500
Se: 0.500 0.500 0.500
I: 0.500 0.500 0.000

The following is a DFT calculation (GGA-PBE) of Rb2PmAs2O6 after structural relaxation.

Energy relative to the elements, uncorrected ... -1.90 eV per atom
ρ ... 4.4 g/cm³

abc: 6.020 6.020 7.512
angles: 112.43 112.43 61.17
Element x y z (fractional)
Rb: 0.216 0.216 0.190
Rb: 0.784 0.784 0.810
Pm: 0.000 0.000 0.500
As: 0.433 0.433 0.782
As: 0.567 0.567 0.218
O: 0.250 0.250 0.609
O: 0.254 0.715 0.266
O: 0.285 0.746 0.734
O: 0.715 0.254 0.266
O: 0.746 0.285 0.734
O: 0.750 0.750 0.391

The following is a DFT calculation (GGA-PBE) of NbPt6Rh8 after structural relaxation.

ρ ... 14.7 g/cm³
Formation energy from the elements ... 0.11 eV/atom

abc: 7.403 7.403 4.981
angles: 90.00 90.00 120.00
Element x y z (fractional)
Nb: 0.000 0.000 0.000
Pt: 0.103 0.652 0.818
Pt: 0.348 0.451 0.818
Pt: 0.451 0.103 0.182
Pt: 0.549 0.897 0.818
Pt: 0.652 0.549 0.182
Pt: 0.897 0.348 0.182
Rh: 0.050 0.761 0.324
Rh: 0.239 0.289 0.324
Rh: 0.289 0.050 0.676
Rh: 0.333 0.667 0.293
Rh: 0.667 0.333 0.707
Rh: 0.711 0.950 0.324
Rh: 0.761 0.711 0.676
Rh: 0.950 0.239 0.676

The following is a DFT calculation (GGA-PBE) of YFeAs after structural relaxation.

ρ ... 5.0 g/cm³
Formation energy from the elements ... 0.25 eV/atom

abc: 4.677 4.677 4.677
angles: 60.00 60.00 60.00
Element x y z (fractional)
Y: 0.000 0.000 0.000
Fe: 0.750 0.750 0.750
As: 0.250 0.250 0.250

The following is a DFT calculation (GGA-PBE) of PrErTm4 after structural relaxation.

ρ ... 8.2 g/cm³
Formation energy from the elements ... 0.28 eV/atom
E above lowest polymorph ... 5.78 kcal/mol of atoms

abc: 6.544 6.544 6.544
angles: 60.00 60.00 60.00
Element x y z (fractional)
Pr: 0.000 0.000 0.000
Er: 0.750 0.750 0.750
Tm: 0.376 0.376 0.376
Tm: 0.376 0.376 0.873
Tm: 0.376 0.873 0.376
Tm: 0.873 0.376 0.376

The following is a DFT calculation (GGA-PBE) of CaRe2Ir after structural relaxation.

ρ ... 14.8 g/cm³
Formation energy from the elements ... 0.40 eV/atom
E above lowest polymorph ... 3.77 kcal/mol of atoms

abc: 2.739 2.739 9.048
angles: 90.00 90.00 90.00
Element x y z (fractional)
Ca: 0.000 0.000 0.000
Re: 0.500 0.500 0.283
Re: 0.500 0.500 0.717
Ir: 0.000 0.000 0.500

The following is a DFT calculation (GGA-PBE) of TbSmBr after structural relaxation.

Energy relative to the elements, uncorrected ... -0.76 eV per atom
ρ ... 6.3 g/cm³
E above lowest polymorph ... 0.00 kcal/mol of atoms

abc: 16.794 16.794 16.794
angles: 12.88 12.88 12.88
Element x y z (fractional)
Tb: 0.138 0.138 0.138
Tb: 0.862 0.862 0.862
Sm: 0.414 0.414 0.414
Sm: 0.586 0.586 0.586
Br: 0.294 0.294 0.294
Br: 0.706 0.706 0.706